Material: Ba3InF
Method: DFT, meta-GGA SCAN
State: PBEsol geometry

a = 6.6298 Å, b = 6.6298 Å, c = 6.6298 Å
α = 90.00°, β = 90.00°, γ = 90.00°
With the nearest neighbours (Å) after each atom.
Space group Pm-3m (No. 221)
Symmetry-distinct sites (fractional):
Ba (0.0000, 0.0000, 0.5000) x3  2 In 3.31
In (0.0000, 0.0000, 0.0000) x1  6 Ba 3.31
F (0.5000, 0.5000, 0.5000) x1  12 Ba 4.69

Output
* D(E_F): 3.78 states/eV per cell
* E_tot: -31.6646 eV per atom
* magnetization: 0.00 μB per cell